# CrPb2F8 (PBE+U, relaxed)
# final energy = -5.09 eV per atom
# theoretical density = 6.104 Mg/m³
# total moment = 2.35 μB/f.u.
data_CrPb2F8
_cell_length_a 9.946
_cell_length_b 7.525
_cell_length_c 4.779
_cell_angle_alpha 90.00
_cell_angle_beta 109.85
_cell_angle_gamma 90.00
_symmetry_space_group_name_H-M 'C 1 2/m 1'
_symmetry_Int_Tables_number 12
loop_
_symmetry_equiv_pos_as_xyz
'x,y,z'
'-x,-y,-z'
'-x,y,-z'
'x,-y,z'
'x+1/2,y+1/2,z'
'-x+1/2,-y+1/2,-z'
'-x+1/2,y+1/2,-z'
'x+1/2,-y+1/2,z'
loop_
_atom_site_label
_atom_site_type_symbol
_atom_site_fract_x
_atom_site_fract_y
_atom_site_fract_z
Cr1 Cr 0.000 0.000 0.000
Pb1 Pb 0.169 0.500 0.352
F1 F 0.090 0.500 0.807
F2 F 0.117 0.000 0.758
F3 F 0.130 0.178 0.251